Computed, not measured: a relaxed HfBe3Cu crystal at the PBE-GGA level of DFT.

Results
VASP energy: -3.05 eV/atom
Formation energy: 2.00 eV/atom
Symmetry: Pm-3m, No. 221

Cell lengths 4.686, 4.686, 4.686 Å; angles 90.00, 90.00, 90.00 degrees
Atoms (fractional coordinates):
Hf 0.000 0.000 0.000
Be 0.000 0.000 0.500
Be 0.500 0.000 0.000
Cu 0.500 0.500 0.500
Be 0.000 0.500 0.000